(1)
Here is a geometry-optimized TlRe3Bi structure from Alexandria. Energies are from PBE. Values from VASP.

Output
- Calculated formation energy: 15.07 eV/f.u.
- Relative energy among the computed polymorphs: 0 meV/atom
- N(E_F): 1.191 states/eV/atom

Cell and atoms, written as Quantum ESPRESSO input:
```
&SYSTEM
  ibrav = 0, nat = 5, ntyp = 3
/
ATOMIC_SPECIES
Re 186.21 Re.upf
Tl 204.38 Tl.upf
Bi 208.98 Bi.upf
CELL_PARAMETERS angstrom
5.036 0.000 0.000
0.000 5.036 0.000
0.000 0.000 5.036
ATOMIC_POSITIONS crystal
Re 0.000 0.500 0.000
Re 0.000 0.000 0.500
Re 0.500 0.000 0.000
Tl 0.500 0.500 0.500
Bi 0.000 0.000 0.000
```

(2)
Here is a geometry-optimized Tl3RuF7 structure from Alexandria. Energies are from PBE. Values from VASP.

Output
- ΔE_f (raw): -1.724 eV/atom

Cell and atoms, written as Quantum ESPRESSO input:
```
&SYSTEM
  ibrav = 0, nat = 11, ntyp = 3
/
ATOMIC_SPECIES
Tl 204.38 Tl.upf
Ru 101.07 Ru.upf
F 19.00 F.upf
CELL_PARAMETERS angstrom
-5.484 -2.064 -1.141
1.984 -2.422 -5.083
-0.086 -6.805 0.455
ATOMIC_POSITIONS crystal
Tl 0.754 0.253 0.495
Tl 0.503 0.503 0.967
Tl 0.253 0.754 0.495
Ru 0.959 0.959 0.030
F 0.092 0.092 0.209
F 0.661 0.084 0.207
F 0.977 0.287 0.821
F 0.084 0.661 0.207
F 0.680 0.680 0.205
F 0.287 0.977 0.821
F 0.875 0.875 0.794
```

(3)
Here is a geometry-optimized Ag3P2Pt9 structure from Alexandria. Energies are from PBE. Values from VASP.

Output
- Calculated formation energy: -1.85 eV/f.u.
- N(E_F): 0.294 states/eV/atom

Cell and atoms, written as Quantum ESPRESSO input:
```
&SYSTEM
  ibrav = 0, nat = 28, ntyp = 3
/
ATOMIC_SPECIES
Ag 107.87 Ag.upf
P 30.97 P.upf
Pt 195.08 Pt.upf
CELL_PARAMETERS angstrom
-0.827 -1.154 -5.485
-3.276 -2.431 3.931
-11.074 13.151 -1.097
ATOMIC_POSITIONS crystal
Ag 0.000 0.000 0.750
Ag 0.000 0.000 0.250
Ag 0.667 0.333 0.902
Ag 0.333 0.667 0.098
Ag 0.333 0.667 0.402
Ag 0.667 0.333 0.598
P 0.667 0.333 0.155
P 0.333 0.667 0.845
P 0.333 0.667 0.655
P 0.667 0.333 0.345
Pt 0.505 0.010 0.750
Pt 0.990 0.495 0.750
Pt 0.505 0.495 0.750
Pt 0.495 0.990 0.250
Pt 0.010 0.505 0.250
Pt 0.495 0.505 0.250
Pt 0.162 0.325 0.934
Pt 0.675 0.838 0.934
Pt 0.162 0.838 0.934
Pt 0.838 0.675 0.066
Pt 0.325 0.162 0.066
Pt 0.838 0.162 0.066
Pt 0.838 0.675 0.434
Pt 0.325 0.162 0.434
Pt 0.838 0.162 0.434
Pt 0.162 0.325 0.566
Pt 0.675 0.838 0.566
Pt 0.162 0.838 0.566
```

(4)
Here is a geometry-optimized Tl2RhCl structure from Alexandria. Energies are from PBE. Values from VASP.

Output
- ΔE_f (raw): 0.225 eV/atom
- Relative energy among the computed polymorphs: 394 meV/atom
- N(E_F): 1.265 states/eV/atom

Cell and atoms, written as Quantum ESPRESSO input:
```
&SYSTEM
  ibrav = 0, nat = 4, ntyp = 3
/
ATOMIC_SPECIES
Tl 204.38 Tl.upf
Rh 102.91 Rh.upf
Cl 35.45 Cl.upf
CELL_PARAMETERS angstrom
0.000 3.612 3.612
3.612 0.000 3.612
3.612 3.612 0.000
ATOMIC_POSITIONS crystal
Tl 0.250 0.250 0.250
Tl 0.750 0.750 0.750
Rh 0.500 0.500 0.500
Cl 0.000 0.000 0.000
```

(5)
Here is a geometry-optimized La3Dy4Te8 structure from Alexandria. Energies are from PBE. Values from VASP.

Output
- ΔE_f (raw): -1.452 eV/atom
- N(E_F): 0.520 states/eV/atom

Cell and atoms, written as Quantum ESPRESSO input:
```
&SYSTEM
  ibrav = 0, nat = 15, ntyp = 3
/
ATOMIC_SPECIES
La 138.91 La.upf
Dy 162.50 Dy.upf
Te 127.60 Te.upf
CELL_PARAMETERS angstrom
8.858 -0.118 -0.170
-4.317 7.784 0.158
-4.317 -2.554 7.355
ATOMIC_POSITIONS crystal
La 0.500 0.500 0.000
La 0.500 0.000 0.500
La 0.500 0.500 0.500
Dy 0.500 0.000 0.000
Dy 0.000 0.500 0.000
Dy 0.000 0.000 0.000
Dy 0.000 0.000 0.500
Te 0.499 0.244 0.244
Te 0.000 0.750 0.250
Te 0.989 0.245 0.245
Te 0.500 0.755 0.245
Te 0.500 0.245 0.755
Te 0.011 0.755 0.755
Te 0.000 0.250 0.750
Te 0.501 0.756 0.756
```

(6)
Here is a geometry-optimized MgIn3Br structure from Alexandria. Energies are from PBE. Values from VASP.

Output
- ΔE_f (raw): 0.305 eV/atom
- Relative energy among the computed polymorphs: 208 meV/atom
- N(E_F): 0.583 states/eV/atom

Cell and atoms, written as Quantum ESPRESSO input:
```
&SYSTEM
  ibrav = 0, nat = 5, ntyp = 3
/
ATOMIC_SPECIES
Mg 24.30 Mg.upf
Br 79.90 Br.upf
In 114.82 In.upf
CELL_PARAMETERS angstrom
5.889 0.000 0.000
0.000 5.889 0.000
0.000 0.000 5.889
ATOMIC_POSITIONS crystal
Mg 0.500 0.500 0.500
Br 0.000 0.000 0.000
In 0.000 0.500 0.000
In 0.000 0.000 0.500
In 0.500 0.000 0.000
```

(7)
Here is a geometry-optimized Cs2SrAlN structure from Alexandria. Energies are from PBE. Values from VASP.

Output
- ΔE_f (raw): 0.352 eV/atom
- N(E_F): 0.855 states/eV/atom

Cell and atoms, written as Quantum ESPRESSO input:
```
&SYSTEM
  ibrav = 0, nat = 5, ntyp = 4
/
ATOMIC_SPECIES
Cs 132.91 Cs.upf
Sr 87.62 Sr.upf
Al 26.98 Al.upf
N 14.01 N.upf
CELL_PARAMETERS angstrom
8.141 0.000 0.000
0.000 3.657 0.000
0.000 0.000 8.141
ATOMIC_POSITIONS crystal
Cs 0.000 0.000 0.500
Cs 0.500 0.000 0.000
Sr 0.500 0.500 0.500
Al 0.000 0.000 0.000
N 0.000 0.500 0.000
```

(8)
Here is a geometry-optimized CdCuRu2 structure from Alexandria. Energies are from PBE. Values from VASP.

Output
- Calculated formation energy: 0.95 eV/f.u.
- N(E_F): 1.399 states/eV/atom

Cell and atoms, written as Quantum ESPRESSO input:
```
&SYSTEM
  ibrav = 0, nat = 4, ntyp = 3
/
ATOMIC_SPECIES
Cd 112.41 Cd.upf
Cu 63.55 Cu.upf
Ru 101.07 Ru.upf
CELL_PARAMETERS angstrom
9.156 -0.008 -0.005
8.733 2.749 -0.005
8.733 1.338 2.402
ATOMIC_POSITIONS crystal
Cd 0.499 0.499 0.499
Cu 0.745 0.745 0.745
Ru 0.999 0.999 0.999
Ru 0.258 0.258 0.258
```

(9)
Here is a geometry-optimized NdYNiIr structure from Alexandria. Energies are from PBE. Values from VASP.

Output
- Calculated formation energy: -2.04 eV/f.u.
- Relative energy among the computed polymorphs: 58 meV/atom
- N(E_F): 0.789 states/eV/atom

Cell and atoms, written as Quantum ESPRESSO input:
```
&SYSTEM
  ibrav = 0, nat = 4, ntyp = 4
/
ATOMIC_SPECIES
Y 88.91 Y.upf
Ni 58.69 Ni.upf
Ir 192.22 Ir.upf
Nd 144.24 Nd.upf
CELL_PARAMETERS angstrom
4.915 0.000 0.000
2.458 4.257 0.000
2.458 1.419 4.013
ATOMIC_POSITIONS crystal
Y 0.750 0.750 0.750
Ni 0.000 0.000 0.000
Ir 0.500 0.500 0.500
Nd 0.250 0.250 0.250
```

(10)
Here is a geometry-optimized CrGeSe2 structure from Alexandria. Energies are from PBE. Values from VASP.

Output
- ΔE_f (raw): 0.163 eV/atom
- N(E_F): 0.438 states/eV/atom

Cell and atoms, written as Quantum ESPRESSO input:
```
&SYSTEM
  ibrav = 0, nat = 4, ntyp = 3
/
ATOMIC_SPECIES
Cr 52.00 Cr.upf
Ge 72.64 Ge.upf
Se 78.96 Se.upf
CELL_PARAMETERS angstrom
3.061 3.939 6.388
2.163 0.352 7.803
5.552 0.911 5.834
ATOMIC_POSITIONS crystal
Cr 0.000 0.000 0.000
Ge 0.500 0.500 0.500
Se 0.897 0.897 0.897
Se 0.103 0.103 0.103
```

(11)
Here is a geometry-optimized K2TbAlTe4 structure from Alexandria. Energies are from PBE. Values from VASP.

Output
- ΔE_f (raw): -0.941 eV/atom
- N(E_F): 0.067 states/eV/atom

Cell and atoms, written as Quantum ESPRESSO input:
```
&SYSTEM
  ibrav = 0, nat = 16, ntyp = 4
/
ATOMIC_SPECIES
K 39.10 K.upf
Tb 158.93 Tb.upf
Al 26.98 Al.upf
Te 127.60 Te.upf
CELL_PARAMETERS angstrom
9.145 -0.046 -0.235
-0.052 9.145 -0.235
-4.623 -4.627 6.670
ATOMIC_POSITIONS crystal
K 0.500 0.000 0.000
K 0.500 0.000 0.500
K 0.000 0.000 0.500
K 0.500 0.500 0.000
Tb 0.000 0.500 0.000
Tb 0.000 0.500 0.500
Al 0.500 0.500 0.500
Al 0.000 0.000 0.000
Te 0.210 0.752 0.981
Te 0.748 0.290 0.519
Te 0.252 0.710 0.481
Te 0.790 0.248 0.019
Te 0.759 0.741 0.954
Te 0.759 0.741 0.546
Te 0.241 0.260 0.454
Te 0.240 0.259 0.046
```

(12)
Here is a geometry-optimized MgCoIr2 structure from Alexandria. Energies are from PBE. Values from VASP.

Output
- Calculated formation energy: -0.04 eV/f.u.
- N(E_F): 1.499 states/eV/atom

Cell and atoms, written as Quantum ESPRESSO input:
```
&SYSTEM
  ibrav = 0, nat = 4, ntyp = 3
/
ATOMIC_SPECIES
Co 58.93 Co.upf
Ir 192.22 Ir.upf
Mg 24.30 Mg.upf
CELL_PARAMETERS angstrom
2.734 0.000 0.000
0.000 3.822 0.000
0.000 0.000 5.417
ATOMIC_POSITIONS crystal
Co 0.500 0.500 0.766
Ir 0.000 0.000 0.990
Ir 0.500 0.500 0.240
Mg 0.000 0.000 0.504
```

(13)
Here is a geometry-optimized Cr2AsAu structure from Alexandria. Energies are from PBE. Values from VASP.

Output
- Calculated formation energy: 0.72 eV/f.u.
- N(E_F): 0.620 states/eV/atom

Cell and atoms, written as Quantum ESPRESSO input:
```
&SYSTEM
  ibrav = 0, nat = 4, ntyp = 3
/
ATOMIC_SPECIES
As 74.92 As.upf
Au 196.97 Au.upf
Cr 52.00 Cr.upf
CELL_PARAMETERS angstrom
3.230 0.000 0.000
0.000 3.230 0.043
0.000 3.145 6.339
ATOMIC_POSITIONS crystal
As 0.500 0.250 0.250
Au 0.500 0.750 0.750
Cr 0.000 0.981 0.019
Cr 0.000 0.519 0.481
```